Model one:
## NaNd2Hg4 (PBE)

Data for an optimized crystal structure of NaNd2Hg4.

Cell: 5.3311 5.3311 15.7438 Å, 90.00 90.00 90.00°
Space group I4/mmm (No. 139)
Unique sites:
1 Na 0.0000 0.0000 0.0000
2 Nd 0.0000 0.0000 0.3846
3 Hg 0.0000 0.0000 0.1869
4 Hg 0.0000 0.5000 0.0000

Values from the calculation:
Fermi-level density of states	11.33	states/eV per cell



Model two:
## NaNd2Hg4 (PBE)

Data for an optimized crystal structure of NaNd2Hg4.

Cell: 5.2036 5.2036 25.5543 Å, 90.00 90.00 120.00°
Space group R-3m (No. 166, hexagonal axes)
Unique sites:
1 Na 0.0000 0.0000 0.0000
2 Nd 0.0000 0.0000 0.2494
3 Hg 0.0000 0.0000 0.1262
4 Hg 0.0000 0.0000 0.3760

Values from the calculation:
Fermi-level density of states	15.75	states/eV per cell



Most stable of them? model two.